# 1
This record from Alexandria via LeMat-Bulk describes ScAuS2 after structural relaxation. The functional is PBE.

Structure (CIF):
```
data_ScAuS2
_chemical_formula_sum 'Sc4 Au4 S8'
_space_group_name_H-M_alt 'C m c m'
_space_group_IT_number 63
_space_group_name_Hall '-C 2c 2'
_cell_length_a 4.2075
_cell_length_b 17.4956
_cell_length_c 5.0723
_cell_angle_alpha 90.00
_cell_angle_beta 90.00
_cell_angle_gamma 90.00
loop_
_atom_site_label
_atom_site_type_symbol
_atom_site_fract_x
_atom_site_fract_y
_atom_site_fract_z
_atom_site_occupancy
Sc1 Sc 0.0000 0.0910 0.2500 1
Au1 Au 0.0000 0.3554 0.2500 1
S1 S 0.0000 0.0627 0.7500 1
S2 S 0.0000 0.2190 0.2500 1
```

Output
Uncorrected formation energy ... -0.550 eV per atom
ΔE to the lowest computed polymorph ... 0.6509 eV/atom
DFT total energy ... -5.016 eV per atom

---

# 2
This record from Alexandria via LeMat-Bulk describes Sc2AuS2 after structural relaxation. The functional is PBE.

Structure (CIF):
```
data_Sc2AuS2
_chemical_formula_sum 'Sc4 Au2 S4'
_space_group_name_H-M_alt 'I 4/m m m'
_space_group_IT_number 139
_space_group_name_Hall '-I 4 2'
_cell_length_a 4.3305
_cell_length_b 4.3305
_cell_length_c 11.9837
_cell_angle_alpha 90.00
_cell_angle_beta 90.00
_cell_angle_gamma 90.00
loop_
_atom_site_label
_atom_site_type_symbol
_atom_site_fract_x
_atom_site_fract_y
_atom_site_fract_z
_atom_site_occupancy
Sc1 Sc 0.0000 0.0000 0.1430 1
Au1 Au 0.0000 0.0000 0.5000 1
S1 S 0.0000 0.5000 0.2500 1
```

Output
Uncorrected formation energy ... -1.018 eV per atom
ΔE to the lowest computed polymorph ... 0.2042 eV/atom
DFT total energy ... -5.857 eV per atom

---

# 3
This record from Alexandria via LeMat-Bulk describes ScAuS2 after structural relaxation. The functional is PBE.

Structure (CIF):
```
data_ScAuS2
_chemical_formula_sum 'Sc4 Au4 S8'
_space_group_name_H-M_alt 'C 1 2/c 1'
_space_group_IT_number 15
_cell_length_a 14.4678
_cell_length_b 3.8333
_cell_length_c 6.6415
_cell_angle_alpha 90.00
_cell_angle_beta 105.69
_cell_angle_gamma 90.00
loop_
_space_group_symop_operation_xyz
'x,y,z'
'-x,-y,-z'
'-x,y,-z+1/2'
'x,-y,z+1/2'
'x+1/2,y+1/2,z'
'-x+1/2,-y+1/2,-z'
'-x+1/2,y+1/2,-z+1/2'
'x+1/2,-y+1/2,z+1/2'
loop_
_atom_site_label
_atom_site_type_symbol
_atom_site_fract_x
_atom_site_fract_y
_atom_site_fract_z
_atom_site_occupancy
Sc1 Sc 0.2500 0.2500 0.0000 1
Au1 Au 0.0000 0.0000 0.0000 1
S1 S 0.1527 0.2441 0.6117 1
```

Output
Uncorrected formation energy ... -1.178 eV per atom
ΔE to the lowest computed polymorph ... 0.0228 eV/atom
DFT total energy ... -5.644 eV per atom

---

# 4
This record from Alexandria via LeMat-Bulk describes ScAuS2 after structural relaxation. The functional is PBE.

Structure (CIF):
```
data_ScAuS2
_chemical_formula_sum 'Sc4 Au4 S8'
_space_group_name_H-M_alt 'C m c m'
_space_group_IT_number 63
_space_group_name_Hall '-C 2c 2'
_cell_length_a 3.5375
_cell_length_b 24.1017
_cell_length_c 3.7747
_cell_angle_alpha 90.00
_cell_angle_beta 90.00
_cell_angle_gamma 90.00
loop_
_atom_site_label
_atom_site_type_symbol
_atom_site_fract_x
_atom_site_fract_y
_atom_site_fract_z
_atom_site_occupancy
Sc1 Sc 0.0000 0.1803 0.2500 1
Au1 Au 0.0000 0.4609 0.2500 1
S1 S 0.0000 0.2928 0.2500 1
S2 S 0.0000 0.3987 0.7500 1
```

Output
Uncorrected formation energy ... -1.111 eV per atom
ΔE to the lowest computed polymorph ... 0.0895 eV/atom
DFT total energy ... -5.577 eV per atom

---

# 5
This record from Alexandria via LeMat-Bulk describes ScAuS2 after structural relaxation. The functional is PBE.

Structure (CIF):
```
data_ScAuS2
_chemical_formula_sum 'Sc4 Au4 S8'
_space_group_name_H-M_alt 'I 4/m c m'
_space_group_IT_number 140
_space_group_name_Hall '-I 4 2c'
_cell_length_a 6.6888
_cell_length_b 6.6888
_cell_length_c 6.7634
_cell_angle_alpha 90.00
_cell_angle_beta 90.00
_cell_angle_gamma 90.00
loop_
_atom_site_label
_atom_site_type_symbol
_atom_site_fract_x
_atom_site_fract_y
_atom_site_fract_z
_atom_site_occupancy
Sc1 Sc 0.0000 0.5000 0.2500 1
Au1 Au 0.0000 0.0000 0.2500 1
S1 S 0.1958 0.3042 0.0000 1
```

Output
Uncorrected formation energy ... -0.749 eV per atom
ΔE to the lowest computed polymorph ... 0.4513 eV/atom
DFT total energy ... -5.215 eV per atom

---

# 6
This record from Alexandria via LeMat-Bulk describes Sc4AuSe2S after structural relaxation. The functional is PBE.

Structure (CIF):
```
data_Sc4AuSe2S
_chemical_formula_sum 'Sc4 Au1 Se2 S1'
_space_group_name_H-M_alt 'P 1 2/m 1'
_space_group_IT_number 10
_cell_length_a 6.6876
_cell_length_b 3.7683
_cell_length_c 6.7910
_cell_angle_alpha 90.00
_cell_angle_beta 108.43
_cell_angle_gamma 90.00
loop_
_space_group_symop_operation_xyz
'x,y,z'
'-x,-y,-z'
'-x,y,-z'
'x,-y,z'
loop_
_atom_site_label
_atom_site_type_symbol
_atom_site_fract_x
_atom_site_fract_y
_atom_site_fract_z
_atom_site_occupancy
Sc1 Sc 0.2370 0.0000 0.2362 1
Sc2 Sc 0.2459 0.5000 0.7571 1
Au1 Au 0.0000 0.0000 0.5000 1
Se1 Se 0.5000 0.0000 0.0000 1
Se2 Se 0.5000 0.5000 0.5000 1
S1 S 0.0000 0.5000 0.0000 1
```

Output
Uncorrected formation energy ... -1.418 eV per atom
DFT total energy ... -6.381 eV per atom